1.
Entry from Alexandria: a PBEsol-optimized structure of BaCu2Ru (meta-GGA SCAN).

Computed properties:
The energy comes out at -25.376 eV per atom. The volume comes out at 18.40 A^3/atom. For the energy of formation, the calculation gives 316 kJ/mol of formula units. Its symmetry is Immm. Its density of states at the Fermi level is 2.74 states/eV per cell.

Geometry as POSCAR:
```
BaCu2Ru
1.0
-1.575 2.411 4.845
1.575 -2.411 4.845
1.575 2.411 -4.845
Ba Cu Ru
1 2 1
direct
0.000 0.000 0.000 Ba
0.286 0.786 0.500 Cu
0.714 0.214 0.500 Cu
0.500 0.500 0.000 Ru
```

---

2.
Entry from Alexandria: a PBEsol-optimized structure of Y2AlAg (meta-GGA SCAN).

Computed properties:
The energy comes out at -24.113 eV per atom. The volume comes out at 23.63 A^3/atom. For the energy of formation, the calculation gives -159 kJ/mol of formula units. Its symmetry is Pm. Its density of states at the Fermi level is 3.14 states/eV per cell.

Geometry as POSCAR:
```
Y2AlAg
1.0
3.627 0.000 0.000
0.000 4.582 0.000
-1.788 0.000 5.685
Y Al Ag
2 1 1
direct
0.000 0.000 0.000 Y
0.304 0.500 0.612 Y
0.723 0.000 0.450 Al
0.584 0.500 0.169 Ag
```

---

3.
Entry from Alexandria: a PBEsol-optimized structure of Fe2PbAu (meta-GGA SCAN).

Computed properties:
The energy comes out at -44.995 eV per atom. The volume comes out at 16.12 A^3/atom. For the energy of formation, the calculation gives 118 kJ/mol of formula units. Its symmetry is Cm. Its density of states at the Fermi level is 2.17 states/eV per cell.

Geometry as POSCAR:
```
Fe2PbAu
1.0
4.945 -1.579 0.000
4.945 1.579 0.000
-1.664 0.000 4.128
Fe Pb Au
2 1 1
direct
0.000 0.000 0.000 Fe
0.692 0.692 0.215 Fe
0.227 0.227 0.745 Pb
0.447 0.447 0.439 Au
```

---

4.
Entry from Alexandria: a PBEsol-optimized structure of LiGeRu2Au (meta-GGA SCAN).

Computed properties:
The energy comes out at -31.263 eV per atom. The volume comes out at 19.44 A^3/atom. For the energy of formation, the calculation gives 383 kJ/mol of formula units. Its symmetry is P4/mmm. Its density of states at the Fermi level is 3.56 states/eV per cell.

Geometry as POSCAR:
```
LiGeRu2Au
1.0
4.541 0.000 0.000
0.000 4.541 0.000
0.000 0.000 4.715
Li Ge Ru Au
1 1 2 1
direct
0.000 0.000 0.000 Li
0.500 0.500 0.500 Ge
0.000 0.500 0.500 Ru
0.500 0.000 0.500 Ru
0.500 0.500 0.000 Au
```

---

5.
Entry from Alexandria: a PBEsol-optimized structure of SrTl2Au (meta-GGA SCAN).

Computed properties:
The energy comes out at -59.365 eV per atom. The volume comes out at 24.74 A^3/atom. For the energy of formation, the calculation gives -126 kJ/mol of formula units. Its symmetry is Fm-3m. Its density of states at the Fermi level is 1.73 states/eV per cell.

Geometry as POSCAR:
```
SrTl2Au
1.0
0.000 3.671 3.671
3.671 0.000 3.671
3.671 3.671 0.000
Sr Tl Au
1 2 1
direct
0.000 0.000 0.000 Sr
0.250 0.250 0.250 Tl
0.750 0.750 0.750 Tl
0.500 0.500 0.500 Au
```

---

6.
Entry from Alexandria: a PBEsol-optimized structure of Li2AgAu (meta-GGA SCAN).

Computed properties:
The energy comes out at -26.724 eV per atom. The volume comes out at 15.28 A^3/atom. For the energy of formation, the calculation gives -154 kJ/mol of formula units. Its symmetry is Cm. Its density of states at the Fermi level is 1.04 states/eV per cell.

Geometry as POSCAR:
```
Li2AgAu
1.0
4.688 -1.398 0.000
4.688 1.398 0.000
-0.751 0.000 4.662
Li Ag Au
2 1 1
direct
0.000 0.000 0.000 Li
0.233 0.233 0.694 Li
0.488 0.488 0.490 Ag
0.740 0.740 0.193 Au
```

---

7.
Entry from Alexandria: a PBEsol-optimized structure of YSiO2F (meta-GGA SCAN).

Computed properties:
As for the formation energy from raw total energies: -2.04 eV per atom. The energy comes out at -12.808 eV per atom. The volume comes out at 11.64 A^3/atom. Its symmetry is P4/mmm. Its density of states at the Fermi level is 2.17 states/eV per cell.

Geometry as POSCAR:
```
YSiO2F
1.0
3.681 0.000 0.000
0.000 3.681 0.000
0.000 0.000 4.294
Y Si O F
1 1 2 1
direct
0.000 0.000 0.000 Y
0.500 0.500 0.500 Si
0.000 0.500 0.500 O
0.500 0.000 0.500 O
0.500 0.500 0.000 F
```

---

8.
Entry from Alexandria: a PBEsol-optimized structure of SiOs3Pb (meta-GGA SCAN).

Computed properties:
As for the formation energy from raw total energies: 1.29 eV per atom. The energy comes out at -59.002 eV per atom. The volume comes out at 17.25 A^3/atom. Its symmetry is Pm-3m. Its density of states at the Fermi level is 2.82 states/eV per cell.

Geometry as POSCAR:
```
SiOs3Pb
1.0
4.418 0.000 0.000
0.000 4.418 0.000
0.000 0.000 4.418
Si Os Pb
1 3 1
direct
0.000 0.000 0.000 Si
0.000 0.000 0.500 Os
0.000 0.500 0.000 Os
0.500 0.000 0.000 Os
0.500 0.500 0.500 Pb
```

---

9.
Entry from Alexandria: a PBEsol-optimized structure of KReI3 (meta-GGA SCAN).

Computed properties:
As for the formation energy from raw total energies: 1.10 eV per atom. The energy comes out at -36.829 eV per atom. The volume comes out at 48.74 A^3/atom. Its symmetry is Pm-3m. Its density of states at the Fermi level is 6.92 states/eV per cell.

Geometry as POSCAR:
```
KReI3
1.0
6.246 0.000 0.000
0.000 6.246 0.000
0.000 0.000 6.246
K Re I
1 1 3
direct
0.000 0.000 0.000 K
0.500 0.500 0.500 Re
0.000 0.000 0.500 I
0.000 0.500 0.000 I
0.500 0.000 0.000 I
```

---

10.
Entry from Alexandria: a PBEsol-optimized structure of Mn3HF (meta-GGA SCAN).

Computed properties:
The energy comes out at -12.473 eV per atom. The volume comes out at 11.37 A^3/atom. Its symmetry is Pm-3m. Its density of states at the Fermi level is 1.93 states/eV per cell.

Geometry as POSCAR:
```
Mn3HF
1.0
3.846 0.000 0.000
0.000 3.846 0.000
0.000 0.000 3.846
Mn H F
3 1 1
direct
0.000 0.000 0.500 Mn
0.000 0.500 0.000 Mn
0.500 0.000 0.000 Mn
0.000 0.000 0.000 H
0.500 0.500 0.500 F
```

---

11.
Entry from Alexandria: a PBEsol-optimized structure of Ca2GePd2 (meta-GGA SCAN).

Computed properties:
The energy comes out at -21.666 eV per atom. The volume comes out at 20.91 A^3/atom. For the energy of formation, the calculation gives -421 kJ/mol of formula units. Its symmetry is Fdd2. Its density of states at the Fermi level is 2.32 states/eV per cell.

Geometry as POSCAR:
```
Ca2GePd2
1.0
0.000 7.698 2.764
4.913 0.000 2.764
4.913 7.698 0.000
Ca Ge Pd
4 2 4
direct
0.213 0.787 0.380 Ca
0.630 0.870 0.463 Ca
0.787 0.213 0.620 Ca
0.870 0.630 0.037 Ca
0.241 0.241 0.759 Ge
0.491 0.491 0.009 Ge
0.213 0.287 0.035 Pd
0.215 0.785 0.037 Pd
0.287 0.213 0.465 Pd
0.785 0.215 0.963 Pd
```

---

12.
Entry from Alexandria: a PBEsol-optimized structure of RbPtS2 (meta-GGA SCAN).

Computed properties:
As for the formation energy from raw total energies: 0.46 eV per atom. The energy comes out at -27.082 eV per atom. The volume comes out at 18.82 A^3/atom. Its symmetry is Fm-3m. Its density of states at the Fermi level is 5.07 states/eV per cell.

Geometry as POSCAR:
```
RbPtS2
1.0
0.000 3.351 3.351
3.351 0.000 3.351
3.351 3.351 0.000
Rb Pt S
1 1 2
direct
0.000 0.000 0.000 Rb
0.500 0.500 0.500 Pt
0.250 0.250 0.250 S
0.750 0.750 0.750 S
```

---

13.
Entry from Alexandria: a PBEsol-optimized structure of YTl2As (meta-GGA SCAN).

Computed properties:
The energy comes out at -48.455 eV per atom. The volume comes out at 24.50 A^3/atom. For the energy of formation, the calculation gives -103 kJ/mol of formula units. Its symmetry is F-43m. Its density of states at the Fermi level is 2.34 states/eV per cell.

Geometry as POSCAR:
```
YTl2As
1.0
0.000 3.660 3.660
3.660 0.000 3.660
3.660 3.660 0.000
Y Tl As
1 2 1
direct
0.000 0.000 0.000 Y
0.500 0.500 0.500 Tl
0.750 0.750 0.750 Tl
0.250 0.250 0.250 As
```

---

14.
Entry from Alexandria: a PBEsol-optimized structure of ScCd2Cl (meta-GGA SCAN).

Computed properties:
As for the formation energy from raw total energies: -0.45 eV per atom. The energy comes out at -21.210 eV per atom. The volume comes out at 21.84 A^3/atom. Its symmetry is R-3m. Its density of states at the Fermi level is 2.50 states/eV per cell.

Geometry as POSCAR:
```
ScCd2Cl
1.0
1.676 0.968 8.975
-1.676 0.968 8.975
0.000 -1.936 8.975
Sc Cd Cl
1 2 1
direct
0.000 0.000 0.000 Sc
0.246 0.246 0.246 Cd
0.754 0.754 0.754 Cd
0.500 0.500 0.500 Cl
```